[1]
Zn5W PBE-GGA optimized geometry; calculated total energy = -3.073 eV per atom; relative energy among the computed polymorphs = 0.013 eV/atom; ΔH_f (0 K) = 148 meV per atom
1.0
-5.067 0.023 3.498
4.047 -3.655 -2.859
2.223 -0.058 3.220
Zn W
5 1
Cartesian
3.658 -3.079 -0.203
1.038 -2.441 -0.761
0.601 -1.845 1.929
-2.058 -1.191 1.400
-2.456 -0.611 4.062
0.000 0.000 0.000

---

[2]
ZnW2 PBE-GGA optimized geometry; calculated total energy = -8.544 eV per atom; relative energy among the computed polymorphs = 0.329 eV/atom; ΔH_f (0 K) = 517 meV per atom
1.0
3.058 0.000 0.000
-1.529 2.648 0.000
0.000 0.000 6.238
W Zn
2 1
Cartesian
0.000 1.766 2.195
1.529 0.883 4.043
0.000 0.000 0.000

---

[3]
Zn4W5 PBE-GGA optimized geometry; calculated total energy = -7.326 eV per atom; relative energy among the computed polymorphs = 0.205 eV/atom; ΔH_f (0 K) = 437 meV per atom
1.0
-2.286 7.351 0.121
-7.171 1.837 -2.117
-1.617 -0.585 4.971
Zn W
8 10
Cartesian
0.000 0.000 0.000
-0.809 -0.292 2.486
-4.521 5.138 0.525
-4.887 1.002 -0.080
-1.261 2.610 1.288
-6.552 3.466 2.451
-3.901 0.250 2.935
-2.642 4.156 3.804
-6.151 3.299 -0.221
-2.495 0.389 0.626
-2.023 5.061 1.329
-4.923 5.305 3.197
-6.293 0.863 2.229
-1.879 1.705 3.764
-3.152 3.063 -0.665
-7.113 5.833 1.155
-6.304 6.125 -1.330
-3.961 2.770 1.821

---

[4]
ZnW2 PBE-GGA optimized geometry; calculated total energy = -8.348 eV per atom; relative energy among the computed polymorphs = 0.524 eV/atom; ΔH_f (0 K) = 712 meV per atom
1.0
-1.376 4.256 -2.881
-1.105 -0.536 -5.177
-8.239 -1.376 1.901
Zn W
4 8
Cartesian
-2.172 2.393 -5.252
-5.255 1.878 -4.541
-5.465 0.465 -1.616
-8.547 -0.050 -0.904
0.000 0.000 0.000
-4.119 -0.688 0.951
-7.696 2.321 -2.721
-7.563 -0.037 -3.850
-2.480 0.286 -0.889
-8.240 2.057 -5.268
-3.157 2.380 -2.307
-3.023 0.022 -3.436

---

[5]
Zn3W PBE-GGA optimized geometry; calculated total energy = -3.912 eV per atom; ΔH_f (0 K) = 282 meV per atom
1.0
-2.130 -1.393 -1.041
2.233 -3.258 -0.208
-1.575 -1.405 5.104
W Zn
1 3
Cartesian
0.000 0.000 0.000
-0.787 -0.703 2.552
-0.331 -2.667 0.615
-1.141 -3.389 3.240

---

[6]
Zn5W PBE-GGA optimized geometry; calculated total energy = -2.764 eV per atom; relative energy among the computed polymorphs = 0.321 eV/atom; ΔH_f (0 K) = 457 meV per atom
1.0
2.493 -4.317 0.000
2.493 4.317 0.000
0.000 0.000 4.117
Zn W
5 1
Cartesian
1.246 2.159 2.059
2.493 1.439 0.000
1.246 -2.159 2.059
2.493 0.000 2.059
2.493 -1.439 0.000
0.000 0.000 0.000

---

[7]
ZnW2 PBE-GGA optimized geometry; calculated total energy = -8.667 eV per atom; relative energy among the computed polymorphs = 0.206 eV/atom; ΔH_f (0 K) = 393 meV per atom
1.0
1.314 -0.140 4.494
-3.511 1.591 2.661
1.528 -3.331 -2.917
Zn W
1 2
Cartesian
0.000 0.000 0.000
-1.710 -0.396 2.210
1.040 -1.484 2.028

---

[8]
ZnW2 PBE-GGA optimized geometry; calculated total energy = -8.683 eV per atom; relative energy among the computed polymorphs = 0.189 eV/atom; ΔH_f (0 K) = 377 meV per atom
1.0
-3.477 -2.883 -2.953
-2.436 -4.692 -1.085
-5.780 0.182 3.399
Zn W
2 4
Cartesian
-9.126 -7.001 -1.690
-7.077 -1.941 2.067
-5.774 0.173 3.388
-5.265 -4.576 -1.495
-3.915 -2.510 -0.248
-7.755 -4.911 -0.431

---

- calculated total energy of number 1 (Zn5W)?
  -3.073 eV per atom